GGA+U K2Fe3F9, relaxed; total moment = 26.00 μB/cell; volume = 463.9 Å³/cell; total DFT energy (no corrections) = -5.08 eV per atom
1.0
-6.199 -0.116 6.069
7.217 -5.005 -1.202
6.028 6.687 1.158
K Fe F
4 6 18
Direct
0.331 0.319 0.793
0.669 0.681 0.207
0.996 0.514 0.728
0.004 0.486 0.272
0.500 0.000 0.000
0.500 0.500 0.500
0.708 0.037 0.495
0.292 0.963 0.505
0.038 0.202 0.008
0.962 0.798 0.992
0.389 0.987 0.748
0.611 0.013 0.252
0.720 0.604 0.729
0.280 0.396 0.271
0.257 0.473 0.959
0.743 0.527 0.041
0.006 0.290 0.520
0.994 0.710 0.480
0.845 0.091 0.730
0.155 0.909 0.270
0.197 0.099 0.992
0.803 0.901 0.008
0.609 0.187 0.505
0.391 0.813 0.495
0.686 0.804 0.471
0.314 0.196 0.529
0.812 0.220 0.022
0.188 0.780 0.978